No. 1
# CrFe2S

A geometry-optimized CrFe2S structure (PBE, Alexandria).

Cell lengths 5.005, 5.005, 5.985 Å; angles 65.28, 65.28, 90.00 degrees
Fractional coordinates of all 8 atoms:
Fe 0.375 0.385 0.750
S 0.500 0.500 0.000
S 0.250 0.750 0.500
Fe 0.135 0.625 0.250
Cr 0.000 0.000 0.000
Fe 0.615 0.125 0.250
Cr 0.750 0.250 0.500
Fe 0.875 0.865 0.750

Results
calculated density: 5.38 g/cm3
size of the total moment: 0.00 μB/cell
E_form (uncorrected): 522 meV per atom



No. 2
# IrRu4Cl

A geometry-optimized IrRu4Cl structure (PBE, Alexandria).

Cell lengths 5.130, 5.130, 5.130 Å; angles 60.00, 60.00, 60.00 degrees
Fractional coordinates of all 6 atoms:
Ru 0.375 0.876 0.375
Ru 0.375 0.375 0.876
Ru 0.375 0.375 0.375
Ru 0.876 0.375 0.375
Ir 0.000 0.000 0.000
Cl 0.750 0.750 0.750

Results
calculated density: 10.99 g/cm3
size of the total moment: 3.43 μB/cell
E_form (uncorrected): 1148 meV per atom



No. 3
# AcLaHoSn

A geometry-optimized AcLaHoSn structure (PBE, Alexandria).

Cell lengths 5.656, 5.656, 5.656 Å; angles 60.00, 60.00, 60.00 degrees
Fractional coordinates of all 4 atoms:
Ho 0.750 0.750 0.750
La 0.250 0.250 0.250
Sn 0.000 0.000 0.000
Ac 0.500 0.500 0.500

Results
calculated density: 8.43 g/cm3
size of the total moment: 0.00 μB/cell
E_tot: -0.1690 Ha/atom



No. 4
# CoCuNi2

A geometry-optimized CoCuNi2 structure (PBE, Alexandria).

Cell lengths 2.499, 2.499, 8.367 Å; angles 81.41, 81.41, 60.00 degrees
Fractional coordinates of all 4 atoms:
Ni 0.081 0.081 0.756
Ni 0.252 0.252 0.244
Cu 0.500 0.500 0.500
Co 0.667 0.667 0.000

Results
calculated density: 8.93 g/cm3
size of the total moment: 2.90 μB/cell
E_tot: -0.2085 Ha/atom



No. 5
# PrSmSi2

A geometry-optimized PrSmSi2 structure (PBE, Alexandria).

Cell lengths 4.454, 3.934, 5.908 Å; angles 90.00, 112.13, 90.00 degrees
Fractional coordinates of all 4 atoms:
Si 0.154 0.500 0.846
Pr 0.724 0.000 0.987
Sm 0.444 0.500 0.426
Si 0.010 0.000 0.559

Results
calculated density: 6.02 g/cm3
size of the total moment: 0.00 μB/cell
offset from the most stable computed form: 0.24 kJ/mol of atoms
E_form (uncorrected): -761 meV per atom



No. 6
# Ca2MgTa

A geometry-optimized Ca2MgTa structure (PBE, Alexandria).

Cell lengths 3.214, 3.214, 10.309 Å; angles 90.00, 90.00, 90.01 degrees
Fractional coordinates of all 4 atoms:
Ca 0.000 0.000 0.518
Mg 0.500 0.500 0.250
Ta 0.500 0.500 0.750
Ca 0.000 0.000 0.982

Results
calculated density: 4.45 g/cm3
size of the total moment: 0.01 μB/cell
E_tot: -0.1434 Ha/atom



No. 7
# BAsSe2O

A geometry-optimized BAsSe2O structure (PBE, Alexandria).

Cell lengths 4.245, 4.245, 4.571 Å; angles 90.00, 90.00, 90.00 degrees
Fractional coordinates of all 5 atoms:
Se 0.500 0.000 0.000
As 0.000 0.000 0.500
B 0.000 0.000 0.000
Se 0.000 0.500 0.000
O 0.500 0.500 0.500

Results
calculated density: 5.24 g/cm3
size of the total moment: 0.00 μB/cell
offset from the most stable computed form: 0.00 kJ/mol of atoms
E_form (uncorrected): 1075 meV per atom



No. 8
# Li4SnSb2

A geometry-optimized Li4SnSb2 structure (PBE, Alexandria).

Cell lengths 5.240, 5.240, 6.753 Å; angles 112.83, 112.83, 90.00 degrees
Fractional coordinates of all 7 atoms:
Sn 0.000 0.000 0.000
Li 0.000 0.500 0.000
Li 0.750 0.250 0.500
Li 0.250 0.750 0.500
Sb 0.629 0.629 0.258
Li 0.500 0.000 0.000
Sb 0.371 0.371 0.742

Results
calculated density: 4.18 g/cm3
size of the total moment: 0.00 μB/cell
offset from the most stable computed form: 22.90 kJ/mol of atoms
E_form (uncorrected): -212 meV per atom



No. 9
# BeTlCdW2

A geometry-optimized BeTlCdW2 structure (PBE, Alexandria).

Cell lengths 5.085, 5.180, 5.085 Å; angles 90.00, 90.00, 90.00 degrees
Fractional coordinates of all 5 atoms:
Cd 0.000 0.000 0.000
Tl 0.000 0.500 0.000
W 0.500 0.000 0.000
Be 0.500 0.500 0.500
W 0.000 0.000 0.500

Results
calculated density: 8.60 g/cm3
size of the total moment: 4.62 μB/cell
E_tot: -0.1341 Ha/atom



No. 10
# TbAl3Ag2

A geometry-optimized TbAl3Ag2 structure (PBE, Alexandria).

Cell lengths 4.549, 8.200, 7.580 Å; angles 117.50, 90.00, 106.10 degrees
Fractional coordinates of all 12 atoms:
Al 0.676 0.352 0.473
Ag 0.500 0.000 0.181
Al 0.675 0.351 0.878
Al 0.324 0.648 0.527
Al 0.000 0.999 0.666
Tb 0.869 0.738 0.869
Ag 0.192 0.384 0.692
Ag 0.500 0.000 0.819
Tb 0.131 0.262 0.131
Al 0.000 0.001 0.334
Ag 0.808 0.616 0.308
Al 0.325 0.649 0.122

Results
calculated density: 6.35 g/cm3
size of the total moment: 0.00 μB/cell
E_tot: -0.1403 Ha/atom



No. 11
# CeSmTe2

A geometry-optimized CeSmTe2 structure (PBE, Alexandria).

Cell lengths 4.351, 4.351, 15.429 Å; angles 90.00, 90.00, 120.00 degrees
Fractional coordinates of all 8 atoms:
Te 0.667 0.333 0.878
Ce 0.667 0.333 0.250
Te 0.667 0.333 0.622
Te 0.333 0.667 0.378
Ce 0.333 0.667 0.750
Sm 0.000 0.000 0.500
Te 0.333 0.667 0.122
Sm 0.000 0.000 0.000

Results
calculated density: 7.17 g/cm3
size of the total moment: 2.76 μB/cell
offset from the most stable computed form: 2.91 kJ/mol of atoms
E_form (uncorrected): -1354 meV per atom



No. 12
# K3PuIn3Br8

A geometry-optimized K3PuIn3Br8 structure (PBE, Alexandria).

Cell lengths 9.420, 9.420, 9.476 Å; angles 119.81, 90.00, 120.00 degrees
Fractional coordinates of all 15 atoms:
K 0.000 0.000 0.000
In 0.500 0.000 0.500
K 0.000 0.500 0.000
Br 0.226 0.002 0.727
Br 0.752 0.503 0.755
Br 0.224 0.998 0.273
Br 0.248 0.497 0.245
Br 0.776 0.002 0.727
Br 0.226 0.451 0.727
Br 0.774 0.998 0.273
In 0.000 0.500 0.500
K 0.500 0.500 0.000
In 0.500 0.500 0.500
Pu 0.000 0.000 0.500
Br 0.774 0.549 0.273

Results
calculated density: 3.75 g/cm3
size of the total moment: 5.99 μB/cell
E_form (uncorrected): -1237 meV per atom



No. 13
# LaPrTm

A geometry-optimized LaPrTm structure (PBE, Alexandria).

Cell lengths 3.680, 3.680, 8.087 Å; angles 103.15, 103.15, 90.00 degrees
Fractional coordinates of all 3 atoms:
Pr 0.004 0.004 0.007
La 0.331 0.331 0.661
Tm 0.666 0.666 0.332

Results
calculated density: 7.19 g/cm3
size of the total moment: 0.00 μB/cell
offset from the most stable computed form: 1.00 kJ/mol of atoms



No. 14
# MgPBr2

A geometry-optimized MgPBr2 structure (PBE, Alexandria).

Cell lengths 4.570, 4.323, 7.303 Å; angles 71.65, 90.00, 90.00 degrees
Fractional coordinates of all 4 atoms:
Mg 0.000 0.590 0.700
Br 0.000 0.982 0.904
P 0.500 0.680 0.530
Br 0.500 0.248 0.366

Results
calculated density: 2.61 g/cm3
size of the total moment: 0.16 μB/cell
offset from the most stable computed form: 3.83 kJ/mol of atoms
E_form (uncorrected): -497 meV per atom



No. 15
# La4SiIr

A geometry-optimized La4SiIr structure (PBE, Alexandria).

Cell lengths 6.157, 6.157, 6.157 Å; angles 60.00, 60.00, 60.00 degrees
Fractional coordinates of all 6 atoms:
La 0.375 0.375 0.875
La 0.375 0.375 0.375
La 0.875 0.375 0.375
La 0.375 0.875 0.375
Ir 0.000 0.000 0.000
Si 0.750 0.750 0.750

Results
calculated density: 7.81 g/cm3
size of the total moment: 0.00 μB/cell
offset from the most stable computed form: 105.52 kJ/mol of atoms
E_form (uncorrected): 563 meV per atom



No. 16
# TaTlW3

A geometry-optimized TaTlW3 structure (PBE, Alexandria).

Cell lengths 4.847, 4.847, 4.847 Å; angles 90.00, 90.00, 90.00 degrees
Fractional coordinates of all 5 atoms:
Ta 0.000 0.000 0.000
W 0.500 0.000 0.000
W 0.000 0.500 0.000
W 0.000 0.000 0.500
Tl 0.500 0.500 0.500

Results
calculated density: 13.66 g/cm3
size of the total moment: 0.00 μB/cell
offset from the most stable computed form: 0.00 kJ/mol of atoms



No. 17
# Nd4Cu2O

A geometry-optimized Nd4Cu2O structure (PBE, Alexandria).

Cell lengths 4.884, 4.884, 7.899 Å; angles 71.99, 71.99, 90.00 degrees
Fractional coordinates of all 7 atoms:
Nd 0.187 0.187 0.625
O 0.000 0.000 0.000
Cu 0.619 0.619 0.762
Cu 0.381 0.381 0.238
Nd 0.000 0.500 0.000
Nd 0.500 0.000 0.000
Nd 0.813 0.813 0.375

Results
calculated density: 7.06 g/cm3
size of the total moment: 0.00 μB/cell
E_form (uncorrected): -827 meV per atom



No. 18
# Na2H2PtO6

A geometry-optimized Na2H2PtO6 structure (PBE, Alexandria).

Cell lengths 5.007, 5.007, 5.232 Å; angles 90.00, 90.00, 120.00 degrees
Fractional coordinates of all 11 atoms:
Na 0.667 0.333 0.630
O 0.357 0.234 0.217
O 0.766 0.123 0.217
Pt 0.000 0.000 0.000
H 0.667 0.333 0.172
O 0.643 0.766 0.783
H 0.333 0.667 0.828
O 0.234 0.877 0.783
O 0.877 0.643 0.217
O 0.123 0.357 0.783
Na 0.333 0.667 0.370

Results
calculated density: 4.96 g/cm3
size of the total moment: 0.00 μB/cell
E_tot: -0.1686 Ha/atom



No. 19
# La7Sn2Ru2

A geometry-optimized La7Sn2Ru2 structure (PBE, Alexandria).

Cell lengths 7.170, 7.242, 7.170 Å; angles 90.00, 108.12, 90.00 degrees
Fractional coordinates of all 11 atoms:
Sn 0.827 0.500 0.827
Sn 0.173 0.500 0.173
Ru 0.286 0.000 0.714
La 0.500 0.748 0.000
La 0.000 0.748 0.500
Ru 0.714 0.000 0.286
La 0.500 0.765 0.500
La 0.000 0.252 0.500
La 0.500 0.252 0.000
La 0.500 0.235 0.500
La 0.000 0.000 0.000

Results
calculated density: 6.63 g/cm3
size of the total moment: 0.00 μB/cell
offset from the most stable computed form: 6.22 kJ/mol of atoms



No. 20
# Sc5SN

A geometry-optimized Sc5SN structure (PBE, Alexandria).

Cell lengths 6.103, 6.103, 8.818 Å; angles 107.30, 107.30, 73.24 degrees
Fractional coordinates of all 14 atoms:
Sc 0.775 0.725 0.750
Sc 0.756 0.402 0.011
Sc 0.594 0.737 0.353
Sc 0.237 0.094 0.853
Sc 0.244 0.598 0.989
Sc 0.406 0.263 0.647
N 0.079 0.421 0.750
S 0.000 0.000 0.000
Sc 0.763 0.906 0.147
Sc 0.902 0.256 0.511
S 0.500 0.500 0.500
Sc 0.225 0.275 0.250
Sc 0.098 0.744 0.489
N 0.921 0.579 0.250

Results
calculated density: 3.08 g/cm3
size of the total moment: 0.00 μB/cell
E_form (uncorrected): -751 meV per atom